## PmSc2Hg4 (PBE-GGA)

Data for crystalline PmSc2Hg4 at its relaxed geometry.

POSCAR file:
```
PmSc2Hg4
1.0
3.466 -5.222 0.000
3.466 5.222 0.000
0.000 0.000 4.968
Pm Sc Hg
1 2 4
Cartesian
0.000 0.000 0.000
3.466 2.573 2.484
3.466 -2.573 2.484
1.733 2.611 0.000
1.958 0.000 2.484
1.733 -2.611 0.000
4.973 0.000 2.484
```

Summary:
* total DFT energy (no corrections): -2.988 eV/atom
* DOS at the Fermi energy: 5.21 states/eV per cell
* energy of formation: -0.328 eV per atom
* V: 180 Å³/cell

---

## PmSc2Hg6 (PBE-GGA)

Data for crystalline PmSc2Hg6 at its relaxed geometry.

POSCAR file:
```
PmSc2Hg6
1.0
-2.284 2.284 11.753
2.284 -2.284 11.753
2.284 2.284 -11.753
Pm Sc Hg
1 2 6
Cartesian
0.000 0.000 0.000
0.000 0.000 7.730
0.000 0.000 15.777
2.284 0.000 2.203
2.284 0.000 5.877
2.284 0.000 9.550
0.000 2.284 2.203
0.000 2.284 5.877
0.000 2.284 9.550
```

Summary:
* total DFT energy (no corrections): -2.246 eV/atom
* DOS at the Fermi energy: 6.54 states/eV per cell
* energy of formation: -0.110 eV per atom
* V: 245 Å³/cell

---

## PmSc2Hg6 (PBE-GGA)

Data for crystalline PmSc2Hg6 at its relaxed geometry.

POSCAR file:
```
PmSc2Hg6
1.0
7.572 -4.192 0.000
7.572 4.192 0.000
-0.768 0.000 3.329
Pm Sc Hg
1 2 6
Cartesian
0.000 0.000 0.000
4.684 0.000 2.846
9.692 0.000 0.484
9.705 -2.722 2.249
4.671 2.722 1.080
7.188 1.419 1.665
9.705 2.722 2.249
4.671 -2.722 1.080
7.188 -1.419 1.665
```

Summary:
* total DFT energy (no corrections): -2.437 eV/atom
* DOS at the Fermi energy: 5.52 states/eV per cell
* energy of formation: -0.301 eV per atom
* V: 211 Å³/cell

---

## Pm5ScHg3 (PBE-GGA)

Data for crystalline Pm5ScHg3 at its relaxed geometry.

POSCAR file:
```
Pm5ScHg3
1.0
9.273 0.000 0.000
-4.636 8.031 0.000
0.000 0.000 6.886
Pm Sc Hg
10 2 6
Cartesian
-1.507 2.611 1.721
-3.129 5.420 5.164
3.014 0.000 1.721
1.507 2.611 5.164
0.000 5.354 0.000
0.000 5.354 3.443
4.636 2.677 0.000
4.636 2.677 3.443
6.259 0.000 5.164
3.129 5.420 1.721
0.000 0.000 0.000
0.000 0.000 3.443
-1.552 2.688 5.164
-3.085 5.343 1.721
3.104 0.000 5.164
1.552 2.688 1.721
6.169 0.000 1.721
3.085 5.343 5.164
```

Summary:
* total DFT energy (no corrections): -3.720 eV/atom
* DOS at the Fermi energy: 16.03 states/eV per cell
* energy of formation: -0.276 eV per atom
* V: 513 Å³/cell